Entry from Alexandria: an optimized crystal structure of Ba2AcGa2O6 (GGA-PBE).

The magnetic moment is 2.1 μB per cell. Its crystal system is trigonal. The calculation puts the uncorrected formation energy at -2297 meV/atom.

The structure belongs to space group R-3m (No. 166, hexagonal axes); the cell edges are 6.1254, 6.1254 and 19.5885 Å and the angles 90.00°, 90.00° and 120.00°. The inequivalent atoms are Ba at (0.0000, 0.0000, 0.2025), Ac at (0.0000, 0.0000, 0.0000), Ga at (0.0000, 0.0000, 0.4134) and O at (0.0058, 0.5029, 0.7601).

=====

Entry from Alexandria: an optimized crystal structure of TbPt3Rh (GGA-PBE).

The magnetic moment is 0.0 μB per cell. Its excess energy over the best structure of this formula in the dataset is 0 meV per atom. Its crystal system is orthorhombic.

The structure belongs to space group Pmmn (No. 59, origin choice 2); the cell edges are 4.415, 6.480 and 6.339 Å and the angles 90.00°, 90.00° and 90.00°. The inequivalent atoms are Tb at (0.250, 0.250, 0.245), Pt at (0.250, 0.050, 0.756), Pt at (0.250, 0.750, 0.453) and Rh at (0.250, 0.750, 0.053).

=====

Entry from Alexandria: an optimized crystal structure of TcPt3I (GGA-PBE).

The magnetic moment is 0.0 μB per cell. Its excess energy over the best structure of this formula in the dataset is 0 meV per atom. Its crystal system is cubic. The calculation puts the uncorrected formation energy at 1216 meV/atom.

The structure belongs to space group Pm-3m (No. 221); the cell edges are 4.866, 4.866 and 4.866 Å and the angles 90.00°, 90.00° and 90.00°. The inequivalent atoms are Tc at (0.000, 0.000, 0.000), Pt at (0.000, 0.000, 0.500) and I at (0.500, 0.500, 0.500).